RbLiCdSe2, relaxed, DFT PBE; raw total energy = -3.17 eV per atom; magnetization = 0.00 μB/cell; E_form (uncorrected) = -1017 meV per atom
1.0
-2.6643 -3.5720 0.0036
2.3566 1.0287 6.8244
-7.8772 5.8758 0.3419
Se Li Rb Cd
4 2 2 2
direct
0.3739 0.7477 0.6907
0.8671 0.7342 0.0691
0.1329 0.2658 0.9309
0.6261 0.2523 0.3093
0.3219 0.6439 0.9405
0.6781 0.3561 0.0595
0.3433 0.6866 0.3351
0.6567 0.3134 0.6649
0.0558 0.1116 0.1778
0.9442 0.8884 0.8222

---

RbLiCd2Sn, relaxed, DFT PBE; raw total energy = -1.73 eV per atom; magnetization = 0.00 μB/cell; energy of formation = 0.0083 eV/atom; Fermi-level density of states = 3.99 states/eV per cell
1.0
5.8212 0.0000 0.0000
0.0000 5.8212 0.0000
0.0000 0.0000 5.4178
Rb Li Sn Cd
1 1 1 2
direct
0.5000 0.5000 0.5000
0.0000 0.0000 0.5000
0.0000 0.0000 0.0000
0.0000 0.5000 0.0000
0.5000 0.0000 0.0000

---

RbLiCdTe, relaxed, DFT PBE; raw total energy = -2.38 eV per atom; magnetization = 0.00 μB/cell; E_form (uncorrected) = -649 meV per atom; Fermi-level density of states = 1.86 states/eV per cell
1.0
-0.8179 -0.5422 -4.6345
4.5170 -1.2719 -0.6484
-3.0635 -11.8631 1.9286
Li Te Rb Cd
2 2 2 2
direct
0.2500 0.7500 0.0000
0.7500 0.2500 0.0000
0.2500 0.2500 0.1269
0.7500 0.7500 0.8731
0.2500 0.2500 0.7660
0.7500 0.7500 0.2340
0.7500 0.2500 0.5000
0.2500 0.7500 0.5000

---

RbLiCdTe2, relaxed, DFT PBE; raw total energy = -2.87 eV per atom; magnetization = 0.00 μB/cell; E_form (uncorrected) = -854 meV per atom
1.0
-3.1203 -3.4798 0.4635
3.0372 -5.2336 4.9524
-4.9026 2.3754 8.6268
Cd Te Li Rb
2 4 2 2
direct
0.0358 0.1136 0.8147
0.9642 0.8864 0.1853
0.8310 0.2626 0.0753
0.4552 0.7547 0.3348
0.1690 0.7374 0.9247
0.5448 0.2453 0.6652
0.3570 0.3557 0.9303
0.6430 0.6443 0.0697
0.8233 0.7127 0.6407
0.1767 0.2873 0.3593

---

RbLi2TiCd, relaxed, DFT PBE; raw total energy = -2.19 eV per atom; magnetization = 2.23 μB/cell; energy of formation = 0.5288 eV/atom; Fermi-level density of states = 4.44 states/eV per cell
1.0
-4.8263 0.6474 2.5041
1.3868 -3.7463 3.6415
2.1716 3.8938 3.1788
Cd Li Ti Rb
1 2 1 1
direct
0.0000 0.0000 0.0000
0.5000 0.0000 0.0000
0.0000 0.0000 0.5000
0.0000 0.5000 0.0000
0.5000 0.5000 0.5000

---

RbLiTlCd2, relaxed, DFT PBE; raw total energy = -1.40 eV per atom; magnetization = 0.00 μB/cell; energy of formation = 0.0121 eV/atom; Fermi-level density of states = 2.92 states/eV per cell; relative energy among the computed polymorphs = 0 meV/atom
1.0
5.3956 0.0000 0.0000
0.0000 5.3956 0.0000
0.0000 0.0000 5.3672
Tl Cd Li Rb
1 2 1 1
direct
0.0000 0.0000 0.5000
0.0000 0.5000 0.0000
0.5000 0.0000 0.0000
0.0000 0.0000 0.0000
0.5000 0.5000 0.5000

---

RbLiTl2Cd, relaxed, DFT PBE; raw total energy = -1.71 eV per atom; magnetization = 0.00 μB/cell; energy of formation = -0.0081 eV/atom; Fermi-level density of states = 2.03 states/eV per cell
1.0
-4.2450 -3.2910 -0.6509
3.2823 -4.2914 0.2920
-0.6951 -0.1661 5.3729
Tl Rb Li Cd
2 1 1 1
direct
0.5000 0.0000 0.0000
0.0000 0.5000 0.0000
0.5000 0.5000 0.5000
0.0000 0.0000 0.0000
0.0000 0.0000 0.5000

---

RbLiTlCd2, relaxed, DFT PBE; raw total energy = -1.37 eV per atom; magnetization = 0.00 μB/cell; energy of formation = 0.0413 eV/atom; Fermi-level density of states = 1.50 states/eV per cell; relative energy among the computed polymorphs = 29 meV/atom
1.0
5.7865 0.0000 0.0000
0.0000 5.7865 0.0000
0.0000 0.0000 5.5561
Cd Rb Tl Li
2 1 1 1
direct
0.5000 0.0000 0.0000
0.0000 0.5000 0.0000
0.5000 0.5000 0.5000
0.0000 0.0000 0.0000
0.0000 0.0000 0.5000

---

RbLiZnCd2, relaxed, DFT PBE; raw total energy = -1.15 eV per atom; magnetization = 0.00 μB/cell; energy of formation = 0.0451 eV/atom; Fermi-level density of states = 2.15 states/eV per cell
1.0
5.2177 0.0000 0.0000
0.0000 5.2177 0.0000
0.0000 0.0000 5.4461
Li Rb Cd Zn
1 1 2 1
direct
0.0000 0.0000 0.5000
0.5000 0.5000 0.5000
0.5000 0.0000 0.0000
0.0000 0.5000 0.0000
0.0000 0.0000 0.0000

---

Rb2LiZrCd, relaxed, DFT PBE; raw total energy = -1.67 eV per atom; magnetization = 3.41 μB/cell; energy of formation = 0.9884 eV/atom; Fermi-level density of states = 10.74 states/eV per cell
1.0
6.7904 0.0000 0.0000
0.0000 5.2888 0.0000
0.0000 0.0000 6.7904
Cd Li Zr Rb
1 1 1 2
direct
0.0000 0.0000 0.0000
0.0000 0.5000 0.0000
0.5000 0.5000 0.5000
0.5000 0.0000 0.0000
0.0000 0.0000 0.5000

---

LiCd2Re, relaxed, DFT PBE; raw total energy = -3.66 eV per atom; magnetization = 0.00 μB/cell; energy of formation = 0.3834 eV/atom; Fermi-level density of states = 2.91 states/eV per cell; relative energy among the computed polymorphs = 123 meV/atom
1.0
-2.2424 -1.6186 -0.1432
1.7795 -2.1791 -3.2360
2.4505 -3.7368 3.8638
Li Cd Re
1 2 1
direct
0.5000 0.5000 0.2500
0.0000 0.0000 0.9961
0.0000 0.0000 0.5039
0.5000 0.5000 0.7500

---

LiCd2Re, relaxed, DFT PBE; raw total energy = -3.77 eV per atom; magnetization = 0.00 μB/cell; energy of formation = 0.2808 eV/atom; Fermi-level density of states = 0.28 states/eV per cell; relative energy among the computed polymorphs = 20 meV/atom
1.0
4.8919 0.0000 -0.0022
0.0000 2.8954 -0.0004
-0.0022 0.0006 4.8929
Cd Li Re
2 1 1
direct
0.5000 0.1249 0.3690
0.0000 0.1250 0.8788
0.0000 0.6252 0.3835
0.5000 0.6248 0.8687

---

Copy entry 12 word for word.
LiCd2Re, relaxed, DFT PBE; raw total energy = -3.77 eV per atom; magnetization = 0.00 μB/cell; energy of formation = 0.2808 eV/atom; Fermi-level density of states = 0.28 states/eV per cell; relative energy among the computed polymorphs = 20 meV/atom
1.0
4.8919 0.0000 -0.0022
0.0000 2.8954 -0.0004
-0.0022 0.0006 4.8929
Cd Li Re
2 1 1
direct
0.5000 0.1249 0.3690
0.0000 0.1250 0.8788
0.0000 0.6252 0.3835
0.5000 0.6248 0.8687

---

- Look up the magnetization of the tenth one.
  3.41 μB/cell

---

- What is the magnetization in the ninth record?
  0.00 μB/cell